1.
VASP calculation (PBE) on crystalline Dy3Co8Ni at its relaxed geometry.

It has space group R3m (No. 160, hexagonal axes), with a = 4.9762 Å, b = 4.9762 Å, c = 24.3234 Å, α = 90.00°, β = 90.00° and γ = 120.00°. The asymmetric unit holds Dy at (0.0000, 0.0000, 0.0000), Dy at (0.0000, 0.0000, 0.1296), Dy at (0.0000, 0.0000, 0.6147), Co at (0.0000, 0.0000, 0.3123), Co at (0.0000, 0.0000, 0.8127), Co at (0.0026, 0.5013, 0.0646), Co at (0.1678, 0.3355, 0.8931) and Ni at (0.0000, 0.0000, 0.4919).

For the total magnetization, the calculation gives 10.15 μB per formula unit. Its formation energy is -120.8 meV/atom.


2.
VASP calculation (PBE) on crystalline PaHN2 at its relaxed geometry.

It has space group R-3m (No. 166, hexagonal axes), with a = 3.6342 Å, b = 3.6342 Å, c = 13.7016 Å, α = 90.00°, β = 90.00° and γ = 120.00°. The asymmetric unit holds Pa at (0.0000, 0.0000, 0.0000), H at (0.0000, 0.0000, 0.5000) and N at (0.0000, 0.0000, 0.4040).

For the energy above the most stable polymorph in this dataset, the calculation gives 127.3 meV per atom. For the total magnetization, the calculation gives 0.00 μB per formula unit.


3.
VASP calculation (PBE) on crystalline Sb2WAu at its relaxed geometry.

It has space group I4/mmm (No. 139), with a = 4.527 Å, b = 4.527 Å, c = 7.932 Å, α = 90.00°, β = 90.00° and γ = 90.00°. The asymmetric unit holds Sb at (0.000, 0.500, 0.250), W at (0.000, 0.000, 0.000) and Au at (0.000, 0.000, 0.500).

For the energy above the most stable polymorph in this dataset, the calculation gives 294.6 meV per atom. For the total magnetization, the calculation gives 0.00 μB per formula unit.


4.
VASP calculation (PBE) on crystalline NaFeTe2 at its relaxed geometry.

It has space group R-3m (No. 166, hexagonal axes), with a = 3.7924 Å, b = 3.7924 Å, c = 26.5198 Å, α = 90.00°, β = 90.00° and γ = 120.00°. The asymmetric unit holds Na at (0.0000, 0.0000, 0.0000), Fe at (0.0000, 0.0000, 0.5000) and Te at (0.0000, 0.0000, 0.1148).

The calculation puts the electronic total energy at -49.89 eV/cell. For the total magnetization, the calculation gives 0.72 μB per formula unit.


Repeat the first record exactly.
VASP calculation (PBE) on crystalline Dy3Co8Ni at its relaxed geometry.

It has space group R3m (No. 160, hexagonal axes), with a = 4.9762 Å, b = 4.9762 Å, c = 24.3234 Å, α = 90.00°, β = 90.00° and γ = 120.00°. The asymmetric unit holds Dy at (0.0000, 0.0000, 0.0000), Dy at (0.0000, 0.0000, 0.1296), Dy at (0.0000, 0.0000, 0.6147), Co at (0.0000, 0.0000, 0.3123), Co at (0.0000, 0.0000, 0.8127), Co at (0.0026, 0.5013, 0.0646), Co at (0.1678, 0.3355, 0.8931) and Ni at (0.0000, 0.0000, 0.4919).

For the total magnetization, the calculation gives 10.15 μB per formula unit. Its formation energy is -120.8 meV/atom.